(1)
Below is Y2SbS after structural relaxation, with properties calculated at the PBE-GGA level.

a b c (Å): 5.1683 5.1683 5.1683
angles (deg): 60.00 60.00 60.00
Fractional positions:
Y  0.2500  0.2500  0.2500
Y  0.7500  0.7500  0.7500
Sb  0.0000  0.0000  0.0000
S  0.5000  0.5000  0.5000

Calculated values
Density of states at the Fermi level ... 3.520 states/eV/f.u.

(2)
Below is Y2SbS after structural relaxation, with properties calculated at the PBE-GGA level.

a b c (Å): 7.7030 7.7030 7.7030
angles (deg): 30.57 30.57 30.57
Fractional positions:
Y  0.0000  0.0000  0.0000
Y  0.1617  0.1617  0.1617
Sb  0.5800  0.5800  0.5800
S  0.7498  0.7498  0.7498

Calculated values
Density of states at the Fermi level ... 2.503 states/eV/f.u.

(3)
Below is Y2SbS after structural relaxation, with properties calculated at the PBE-GGA level.

a b c (Å): 7.2419 7.2419 7.2419
angles (deg): 33.29 33.29 33.29
Fractional positions:
Y  0.2417  0.2417  0.2417
Y  0.7583  0.7583  0.7583
Sb  0.0000  0.0000  0.0000
S  0.5000  0.5000  0.5000

Calculated values
Density of states at the Fermi level ... 1.920 states/eV/f.u.

The most stable structure shown above is (3); the least stable is (1).